The following is a DFT calculation (PBE-GGA) of a relaxed structure of NaHo2PuTe4.

Cell: 7.6288 4.3735 7.7227 Å, 90.00 109.08 90.00°
Last column: nearest neighbours and their distance in Å.
Positions (direct):
1 Na 0.0000 0.0000 0.0000  6 Te 3.15-3.16
2 Ho 0.0000 0.5000 0.5000  6 Te 3.08-3.09
3 Ho 0.5000 0.0000 0.5000  6 Te 3.08-3.10
4 Pu 0.5000 0.5000 0.0000  6 Te 3.15-3.17
5 Te 0.2468 0.0000 0.7426  3 Ho 3.09-3.10, 1 Na 3.15, 2 Pu 3.15
6 Te 0.2524 0.5000 0.2600  3 Ho 3.08, 2 Na 3.16, 1 Pu 3.17
7 Te 0.7476 0.5000 0.7400  3 Ho 3.08, 2 Na 3.16, 1 Pu 3.17
8 Te 0.7532 0.0000 0.2574  3 Ho 3.09-3.10, 1 Na 3.15, 2 Pu 3.15

uncorrected formation energy	-119.3	kJ/mol of atoms
crystal system	monoclinic
uncorrected energy	-5.909	eV/atom

***

The following is a DFT calculation (PBE-GGA) of a relaxed structure of LiCd2In2Ag5.

Cell: 10.2169 10.2169 3.9593 Å, 90.00 90.00 90.00°
Last column: nearest neighbours and their distance in Å.
Positions (direct):
1 Li 0.0000 0.0000 0.0000  8 Ag 2.83
2 Li 0.5000 0.5000 0.0000  8 Ag 2.83
3 Cd 0.1518 0.3482 0.0000  1 In 2.79, 6 Ag 2.94-2.95
4 Cd 0.3482 0.8482 0.0000  1 In 2.79, 6 Ag 2.94-2.95
5 Cd 0.6518 0.1518 0.0000  1 In 2.79, 6 Ag 2.94-2.95
6 Cd 0.8482 0.6518 0.0000  1 In 2.79, 6 Ag 2.94-2.95
7 In 0.1552 0.6552 0.0000  1 Cd 2.79, 6 Ag 2.95-2.99
8 In 0.3448 0.1552 0.0000  1 Cd 2.79, 6 Ag 2.95-2.99
9 In 0.6552 0.8448 0.0000  1 Cd 2.79, 6 Ag 2.95-2.99
10 In 0.8448 0.3448 0.0000  1 Cd 2.79, 6 Ag 2.95-2.99
11 Ag 0.0004 0.1981 0.5000  2 Li 2.83, 3 Ag 2.86-3.08, 2 Cd 2.94, 2 In 2.95
12 Ag 0.0000 0.5000 0.5000  4 Cd 2.95, 4 In 2.99, 4 Ag 3.08
13 Ag 0.9996 0.8019 0.5000  2 Li 2.83, 3 Ag 2.86-3.08, 2 Cd 2.94, 2 In 2.95
14 Ag 0.1981 0.9996 0.5000  2 Li 2.83, 3 Ag 2.86-3.08, 2 Cd 2.94, 2 In 2.95
15 Ag 0.3019 0.4996 0.5000  2 Li 2.83, 3 Ag 2.86-3.08, 2 Cd 2.94, 2 In 2.95
16 Ag 0.5000 0.0000 0.5000  4 Cd 2.95, 4 In 2.99, 4 Ag 3.08
17 Ag 0.5004 0.3019 0.5000  2 Li 2.83, 3 Ag 2.86-3.08, 2 Cd 2.94, 2 In 2.95
18 Ag 0.4996 0.6981 0.5000  2 Li 2.83, 3 Ag 2.86-3.08, 2 Cd 2.94, 2 In 2.95
19 Ag 0.6981 0.5004 0.5000  2 Li 2.83, 3 Ag 2.86-3.08, 2 Cd 2.94, 2 In 2.95
20 Ag 0.8019 0.0004 0.5000  2 Li 2.83, 3 Ag 2.86-3.08, 2 Cd 2.94, 2 In 2.95

crystal system	tetragonal
energy relative to the elements	-0.0015	eV per atom
uncorrected energy	-2.349	eV/atom

***

The following is a DFT calculation (PBE-GGA) of a relaxed structure of La3Pm2Bi3.

Cell: 9.6156 9.6156 6.6774 Å, 90.00 90.00 120.00°
Last column: nearest neighbours and their distance in Å.
Positions (direct):
1 La 0.0000 0.2495 0.2500  5 Bi 3.29-3.60
2 La 0.0000 0.7505 0.7500  5 Bi 3.29-3.60
3 La 0.2495 0.0000 0.2500  5 Bi 3.29-3.60
4 La 0.2495 0.2495 0.7500  5 Bi 3.29-3.60
5 La 0.7505 0.0000 0.7500  5 Bi 3.29-3.60
6 La 0.7505 0.7505 0.2500  5 Bi 3.29-3.60
7 Pm 0.3333 0.6667 0.0000  2 Pm 3.34, 6 Bi 3.41
8 Pm 0.3333 0.6667 0.5000  2 Pm 3.34, 6 Bi 3.41
9 Pm 0.6667 0.3333 0.0000  2 Pm 3.34, 6 Bi 3.41
10 Pm 0.6667 0.3333 0.5000  2 Pm 3.34, 6 Bi 3.41
11 Bi 0.0000 0.3897 0.7500  5 La 3.29-3.60, 4 Pm 3.41
12 Bi 0.0000 0.6103 0.2500  5 La 3.29-3.60, 4 Pm 3.41
13 Bi 0.3897 0.0000 0.7500  5 La 3.29-3.60, 4 Pm 3.41
14 Bi 0.3897 0.3897 0.2500  5 La 3.29-3.60, 4 Pm 3.41
15 Bi 0.6103 0.0000 0.2500  5 La 3.29-3.60, 4 Pm 3.41
16 Bi 0.6103 0.6103 0.7500  5 La 3.29-3.60, 4 Pm 3.41

crystal system	hexagonal
energy relative to the elements	-0.8048	eV per atom
uncorrected energy	-5.296	eV/atom

***

The following is a DFT calculation (PBE-GGA) of a relaxed structure of NdYHo2.

Cell: 11.8257 11.8257 11.8257 Å, 17.41 17.41 17.41°
Last column: nearest neighbours and their distance in Å.
Positions (direct):
1 Nd 0.0000 0.0000 0.0000  6 Nd 3.58, 6 Ho 3.60
2 Y 0.5000 0.5000 0.5000  6 Ho 3.54, 6 Y 3.58
3 Ho 0.2491 0.2491 0.2491  3 Y 3.54, 6 Ho 3.58, 3 Nd 3.60
4 Ho 0.7509 0.7509 0.7509  3 Y 3.54, 6 Ho 3.58, 3 Nd 3.60

crystal system	trigonal
E above lowest polymorph	0.0137	eV/atom
energy relative to the elements	0.0213	eV per atom
uncorrected energy	-5.076	eV/atom

***

> Look up the uncorrected energy of the third one.

-5.296 eV/atom